(1)
! BiTeAu PBE-GGA optimized geometry; values from VASP
! VASP energy, eV for the cell shown: -10.65
! Mass density, Mg/m³: 10.6
! DOS(E_F), states/eV/f.u.: 1.25
! Total magnetic moment, Bohr magnetons per cell: 0.000
! Formation energy (no corrections), eV/atom: -0.115
&SYSTEM
  ibrav = 0, nat = 3, ntyp = 3
/
ATOMIC_SPECIES
Bi 208.98 Bi.upf
Te 127.60 Te.upf
Au 196.97 Au.upf
CELL_PARAMETERS angstrom
4.269 0.000 0.000
-2.134 3.697 0.000
0.000 0.000 5.288
ATOMIC_POSITIONS crystal
Bi 0.000 0.000 0.000
Te 0.667 0.333 0.414
Au 0.333 0.667 0.702

(2)
! Bi3Te12Au5 PBE-GGA optimized geometry; values from VASP
! VASP energy, eV for the cell shown: -259.62
! Mass density, Mg/m³: 8.0
! DOS(E_F), states/eV/f.u.: 16.88
! Total magnetic moment, Bohr magnetons per cell: 0.000
! Formation energy (no corrections), eV/atom: 0.041
&SYSTEM
  ibrav = 0, nat = 80, ntyp = 3
/
ATOMIC_SPECIES
Bi 208.98 Bi.upf
Te 127.60 Te.upf
Au 196.97 Au.upf
CELL_PARAMETERS angstrom
-8.682 8.682 8.682
8.682 -8.682 8.682
8.682 8.682 -8.682
ATOMIC_POSITIONS crystal
Bi 0.125 0.250 0.375
Bi 0.125 0.375 0.750
Bi 0.250 0.375 0.125
Bi 0.250 0.875 0.625
Bi 0.375 0.125 0.250
Bi 0.375 0.750 0.125
Bi 0.625 0.250 0.875
Bi 0.625 0.875 0.750
Bi 0.750 0.125 0.375
Bi 0.750 0.625 0.875
Bi 0.875 0.625 0.250
Bi 0.875 0.750 0.625
Te 0.037 0.209 0.126
Te 0.037 0.328 0.911
Te 0.083 0.709 0.672
Te 0.083 0.874 0.411
Te 0.089 0.626 0.417
Te 0.089 0.963 0.672
Te 0.126 0.037 0.209
Te 0.126 0.589 0.917
Te 0.172 0.209 0.583
Te 0.172 0.463 0.589
Te 0.209 0.126 0.037
Te 0.209 0.583 0.172
Te 0.291 0.328 0.917
Te 0.291 0.463 0.374
Te 0.328 0.911 0.037
Te 0.328 0.917 0.291
Te 0.374 0.291 0.463
Te 0.374 0.583 0.911
Te 0.411 0.083 0.874
Te 0.411 0.828 0.537
Te 0.417 0.089 0.626
Te 0.417 0.828 0.791
Te 0.463 0.374 0.291
Te 0.463 0.589 0.172
Te 0.537 0.411 0.828
Te 0.537 0.626 0.709
Te 0.583 0.172 0.209
Te 0.583 0.911 0.374
Te 0.589 0.172 0.463
Te 0.589 0.917 0.126
Te 0.626 0.417 0.089
Te 0.626 0.709 0.537
Te 0.672 0.083 0.709
Te 0.672 0.089 0.963
Te 0.709 0.537 0.626
Te 0.709 0.672 0.083
Te 0.791 0.417 0.828
Te 0.791 0.874 0.963
Te 0.828 0.537 0.411
Te 0.828 0.791 0.417
Te 0.874 0.411 0.083
Te 0.874 0.963 0.791
Te 0.911 0.037 0.328
Te 0.911 0.374 0.583
Te 0.917 0.126 0.589
Te 0.917 0.291 0.328
Te 0.963 0.672 0.089
Te 0.963 0.791 0.874
Au 0.000 0.000 0.000
Au 0.000 0.000 0.500
Au 0.000 0.500 0.000
Au 0.000 0.500 0.500
Au 0.125 0.750 0.875
Au 0.125 0.875 0.250
Au 0.250 0.125 0.875
Au 0.250 0.625 0.375
Au 0.375 0.250 0.625
Au 0.375 0.625 0.750
Au 0.500 0.000 0.000
Au 0.500 0.000 0.500
Au 0.500 0.500 0.000
Au 0.500 0.500 0.500
Au 0.625 0.375 0.250
Au 0.625 0.750 0.375
Au 0.750 0.375 0.625
Au 0.750 0.875 0.125
Au 0.875 0.125 0.750
Au 0.875 0.250 0.125

(3)
! Bi2Te2Au PBE-GGA optimized geometry; values from VASP
! ΔE to the lowest computed polymorph, eV/atom: 0.000
! VASP energy, eV for the cell shown: -34.02
! Mass density, Mg/m³: 9.4
! DOS(E_F), states/eV/f.u.: 2.36
! Total magnetic moment, Bohr magnetons per cell: 0.000
! Formation energy (no corrections), eV/atom: 0.063
&SYSTEM
  ibrav = 0, nat = 10, ntyp = 3
/
ATOMIC_SPECIES
Bi 208.98 Bi.upf
Te 127.60 Te.upf
Au 196.97 Au.upf
CELL_PARAMETERS angstrom
8.389 0.000 0.000
0.000 8.389 0.000
0.000 0.000 4.384
ATOMIC_POSITIONS crystal
Bi 0.179 0.321 0.000
Bi 0.321 0.821 0.000
Bi 0.679 0.179 0.000
Bi 0.821 0.679 0.000
Te 0.146 0.646 0.500
Te 0.354 0.146 0.500
Te 0.646 0.854 0.500
Te 0.854 0.354 0.500
Au 0.000 0.000 0.000
Au 0.500 0.500 0.000